1.
{"formula": "Th5Mg", "functional": "PBE", "state": "relaxed", "cell": [[3.5826, 0.0000, 0.0000], [0.0000, 5.9296, 0.0000], [0.0000, -2.9648, 8.8125]], "species": ["Mg", "Th", "Th", "Th", "Th", "Th"], "frac_coords": [[0.0000, 0.0000, 0.0000], [0.0000, 0.6689, 0.3378], [0.0000, 0.3311, 0.6622], [0.5000, 0.5000, 0.0000], [0.5000, 0.1592, 0.3185], [0.5000, 0.8408, 0.6815]], "e_above_lowest_polymorph_mev_per_atom": 33.2, "magmom_total_mub_per_fu": 0.00, "formation_enthalpy_0k_kj_per_mol_fu": 61}

=====

2.
{"formula": "ThMg5", "functional": "PBE", "state": "relaxed", "cell": [[-0.8004, -2.6569, 1.8871], [-2.0893, -2.4662, -4.3586], [8.4795, -2.1702, 0.5411]], "species": ["Mg", "Mg", "Mg", "Mg", "Mg", "Th"], "frac_coords": [[0.0000, 0.6551, 0.3102], [0.0000, 0.3449, 0.6898], [0.5000, 0.5000, 0.0000], [0.5000, 0.1823, 0.3645], [0.5000, 0.8177, 0.6355], [0.0000, 0.0000, 0.0000]], "magmom_total_mub_per_fu": 0.00, "formation_enthalpy_0k_kj_per_mol_fu": 46}